# Mn3Tl2O8

Crystalline Mn3Tl2O8 at its relaxed geometry (GGA+U, Alexandria).

Structure (CIF):
```
data_Mn3Tl2O8
_cell_length_a 10.966
_cell_length_b 6.193
_cell_length_c 5.137
_cell_angle_alpha 90.00
_cell_angle_beta 108.11
_cell_angle_gamma 90.00
_symmetry_space_group_name_H-M 'C 1 2/m 1'
_symmetry_Int_Tables_number 12
_symmetry_space_group_name_Hall '-C 2y'
loop_
_atom_site_label
_atom_site_fract_x
_atom_site_fract_y
_atom_site_fract_z
Mn1 0.000 0.000 0.000
Mn2 0.000 0.253 0.500
Tl1 0.217 0.500 0.151
O1 0.094 0.000 0.387
O2 0.094 0.500 0.411
O3 0.115 0.224 0.873
```

Properties
magnetization = 0.85 μB per atom
total energy = -6.296 eV/atom
DOS at the Fermi energy = 2.3 states/eV/f.u.